[1]
DFT (PBE) results for a relaxed MgB3N3 crystal.

Cell and atoms, written as POSCAR:
```
MgB3N3
1.0
4.701 0.000 0.000
0.000 4.701 0.000
0.000 0.000 4.701
Mg B N
2 6 6
Direct
0.500 0.500 0.500 Mg
0.000 0.000 0.000 Mg
0.250 0.000 0.500 B
0.000 0.500 0.250 B
0.500 0.750 0.000 B
0.750 0.000 0.500 B
0.000 0.500 0.750 B
0.500 0.250 0.000 B
0.000 0.250 0.500 N
0.000 0.750 0.500 N
0.500 0.000 0.750 N
0.750 0.500 0.000 N
0.500 0.000 0.250 N
0.250 0.500 0.000 N
```

space group: Pm-3n (223)
energy relative to the elements, uncorrected: 0.105 eV per atom
magnetization: 0.0 μB per formula unit
Fermi-level density of states: 2.678 states/eV/cell

[2]
DFT (PBE) results for a relaxed Ca2ZnGaRh2 crystal.

Cell and atoms, written as POSCAR:
```
Ca2ZnGaRh2
1.0
-2.077 3.529 -4.322
-0.266 -4.687 -3.699
-5.283 -0.687 6.079
Ca Zn Ga Rh
4 2 2 4
Direct
0.416 0.171 0.342 Ca
0.584 0.829 0.658 Ca
0.074 0.329 0.658 Ca
0.926 0.671 0.342 Ca
0.000 0.750 0.000 Zn
0.000 0.250 0.000 Zn
0.500 0.750 0.000 Ga
0.500 0.250 0.000 Ga
0.845 0.105 0.211 Rh
0.366 0.605 0.211 Rh
0.634 0.395 0.789 Rh
0.155 0.895 0.789 Rh
```

space group: Ibam (72)
ΔH_f (0 K): -0.523 eV/atom
magnetization: 0.0 μB per formula unit
Fermi-level density of states: 4.338 states/eV/cell

Copy entry 1 word for word.
DFT (PBE) results for a relaxed MgB3N3 crystal.

Cell and atoms, written as POSCAR:
```
MgB3N3
1.0
4.701 0.000 0.000
0.000 4.701 0.000
0.000 0.000 4.701
Mg B N
2 6 6
Direct
0.500 0.500 0.500 Mg
0.000 0.000 0.000 Mg
0.250 0.000 0.500 B
0.000 0.500 0.250 B
0.500 0.750 0.000 B
0.750 0.000 0.500 B
0.000 0.500 0.750 B
0.500 0.250 0.000 B
0.000 0.250 0.500 N
0.000 0.750 0.500 N
0.500 0.000 0.750 N
0.750 0.500 0.000 N
0.500 0.000 0.250 N
0.250 0.500 0.000 N
```

space group: Pm-3n (223)
energy relative to the elements, uncorrected: 0.105 eV per atom
magnetization: 0.0 μB per formula unit
Fermi-level density of states: 2.678 states/eV/cell

Q: Which of these has the highest Fermi-level density of states?
A: Ca2ZnGaRh2